No. 1
VASP calculation (PBE) on a relaxed CaTb2UAs4 crystal.

Output
**Calculated volume**: 25.08 Å³/atom
**Total magnetization**: 1.9 μB per formula unit
**ΔE_f**: -9.9 eV per formula unit
**Total energy**: -6.3762 eV per atom

Cell lengths 5.8565, 5.8565, 7.1669 Å; angles 114.12, 114.12, 90.00 degrees
Last column: magnetic moment on the atom in μB.
Atoms (fractional coordinates):
Ca 0.5000 0.5000 0.0000  -0.01
Tb 0.2500 0.7500 0.5000  0.03
Tb 0.0000 0.0000 0.0000  0.00
U 0.7500 0.2500 0.5000  1.91
As 0.9916 0.4916 0.9833  -0.04
As 0.5084 0.0084 0.0167  -0.04
As 0.7535 0.7535 0.5070  -0.05
As 0.2465 0.2465 0.4930  -0.05



No. 2
VASP calculation (PBE) on a relaxed CaTb2YAs4 crystal.

Output
**Calculated volume**: 25.47 Å³/atom
**Total magnetization**: 0.0 μB per formula unit
**ΔE_f**: -11.0 eV per formula unit
**Total energy**: -5.9183 eV per atom

Cell lengths 4.1470, 7.2129, 7.2191 Å; angles 70.67, 90.00, 90.00 degrees
Atoms (fractional coordinates):
Ca 0.5000 0.5000 0.0000
Tb 0.0000 0.0000 0.0000
Tb 0.5000 0.0000 0.5000
Y 0.0000 0.5000 0.5000
As 0.0000 0.7559 0.7437
As 0.0000 0.2441 0.2563
As 0.5000 0.7521 0.2529
As 0.5000 0.2479 0.7471



> Look up the calculated volume of the first one.

25.08 Å³/atom



> What is the formula in the first record?

CaTb2UAs4



> Which of these has the lowest total energy?

CaTb2UAs4